# 1
# CaSb3Se

A relaxed CaSb3Se crystal (GGA-PBE, Alexandria via LeMat-Bulk).

Cell lengths 5.704, 5.704, 5.704 Å; angles 90.00, 90.00, 90.00 degrees
Positions (direct):
Sb 0.000 0.500 0.000
Sb 0.000 0.000 0.500
Sb 0.500 0.000 0.000
Ca 0.000 0.000 0.000
Se 0.500 0.500 0.500

Computed properties:
Distance to the lowest polymorph of the same formula   0.7116 eV/atom
SG   No. 221
Density of states at the Fermi level   8.9 states/eV/cell

# 2
# Sm2Zn2SbRh5

A relaxed Sm2Zn2SbRh5 crystal (GGA-PBE, Alexandria via LeMat-Bulk).

Cell lengths 3.671, 9.785, 9.785 Å; angles 90.00, 90.00, 90.00 degrees
Positions (direct):
Sm 0.000 0.674 0.174
Sm 0.000 0.326 0.826
Sm 0.000 0.174 0.326
Sm 0.000 0.826 0.674
Zn 0.000 0.123 0.623
Zn 0.000 0.877 0.377
Zn 0.000 0.623 0.877
Zn 0.000 0.377 0.123
Sb 0.000 0.000 0.000
Sb 0.000 0.500 0.500
Rh 0.500 0.206 0.066
Rh 0.500 0.794 0.934
Rh 0.500 0.066 0.794
Rh 0.500 0.706 0.434
Rh 0.500 0.934 0.206
Rh 0.500 0.294 0.566
Rh 0.500 0.566 0.706
Rh 0.500 0.434 0.294
Rh 0.500 0.500 0.000
Rh 0.500 0.000 0.500

Computed properties:
SG   No. 127
Density of states at the Fermi level   13.5 states/eV/cell
VASP energy   -0.4356 Ry/atom

# 3
# GaFeI

A relaxed GaFeI crystal (GGA-PBE, Alexandria via LeMat-Bulk).

Cell lengths 3.850, 6.259, 7.179 Å; angles 64.11, 105.48, 89.99 degrees
Positions (direct):
I 0.351 0.651 0.698
I 0.649 0.349 0.302
Ga 0.105 0.894 0.211
Ga 0.895 0.106 0.789
Fe 0.500 0.816 0.000
Fe 0.500 0.184 0.000

Computed properties:
SG   No. 2
Density of states at the Fermi level   3.4 states/eV/cell
VASP energy   -0.3097 Ry/atom

# 4
# ScBeRu2

A relaxed ScBeRu2 crystal (GGA-PBE, Alexandria via LeMat-Bulk).

Cell lengths 5.164, 5.164, 4.126 Å; angles 66.44, 66.44, 34.25 degrees
Positions (direct):
Sc 0.499 0.499 0.500
Ru 0.995 0.995 0.004
Ru 0.738 0.738 0.763
Be 0.269 0.269 0.232

Computed properties:
Energy of formation from the pure elements   -0.216 eV per atom
SG   No. 8
Density of states at the Fermi level   2.2 states/eV/cell

# 5
# LaAl3Cu

A relaxed LaAl3Cu crystal (GGA-PBE, Alexandria via LeMat-Bulk).

Cell lengths 6.149, 6.149, 6.149 Å; angles 139.05, 139.05, 59.30 degrees
Positions (direct):
La 0.997 0.997 0.000
Al 0.403 0.403 0.000
Al 0.247 0.747 0.500
Al 0.747 0.247 0.500
Cu 0.630 0.630 0.000

Computed properties:
Energy of formation from the pure elements   -0.482 eV per atom
Distance to the lowest polymorph of the same formula   0.0000 eV/atom
SG   No. 107
Density of states at the Fermi level   2.4 states/eV/cell

# 6
# Ba2SrLi3Sb4

A relaxed Ba2SrLi3Sb4 crystal (GGA-PBE, Alexandria via LeMat-Bulk).

Cell lengths 4.917, 4.917, 12.594 Å; angles 90.00, 90.00, 90.00 degrees
Positions (direct):
Ba 0.500 0.000 0.223
Ba 0.000 0.500 0.777
Sr 0.500 0.500 0.500
Li 0.000 0.000 0.500
Li 0.500 0.000 0.880
Li 0.000 0.500 0.120
Sb 0.500 0.500 0.000
Sb 0.000 0.000 0.000
Sb 0.500 0.000 0.661
Sb 0.000 0.500 0.339

Computed properties:
SG   No. 115
Density of states at the Fermi level   1.0 states/eV/cell
VASP energy   -0.2653 Ry/atom

# 7
# NdSmI

A relaxed NdSmI crystal (GGA-PBE, Alexandria via LeMat-Bulk).

Cell lengths 3.752, 3.752, 7.662 Å; angles 104.17, 104.17, 90.00 degrees
Positions (direct):
I 0.335 0.335 0.670
Nd 0.670 0.670 0.340
Sm 0.995 0.995 0.990

Computed properties:
Distance to the lowest polymorph of the same formula   0.0822 eV/atom
SG   No. 107
Density of states at the Fermi level   3.8 states/eV/cell

# 8
# NdSm3Tl4

A relaxed NdSm3Tl4 crystal (GGA-PBE, Alexandria via LeMat-Bulk).

Cell lengths 3.601, 7.347, 10.295 Å; angles 110.88, 100.07, 90.00 degrees
Positions (direct):
Nd 0.500 0.000 0.000
Sm 0.000 0.500 0.000
Sm 0.219 0.219 0.438
Sm 0.781 0.781 0.562
Tl 0.372 0.585 0.745
Tl 0.628 0.415 0.255
Tl 0.628 0.840 0.255
Tl 0.372 0.160 0.745

Computed properties:
Energy of formation from the pure elements   -0.242 eV per atom
Distance to the lowest polymorph of the same formula   0.1433 eV/atom
SG   No. 71
Density of states at the Fermi level   8.5 states/eV/cell

# 9
# LiSmNbN3

A relaxed LiSmNbN3 crystal (GGA-PBE, Alexandria via LeMat-Bulk).

Cell lengths 3.226, 6.806, 6.904 Å; angles 104.20, 90.00, 90.00 degrees
Positions (direct):
Li 0.250 0.079 0.589
Li 0.750 0.921 0.411
Sm 0.750 0.793 0.767
Sm 0.250 0.207 0.233
Nb 0.250 0.675 0.183
Nb 0.750 0.325 0.817
N 0.250 0.784 0.475
N 0.750 0.867 0.133
N 0.750 0.449 0.166
N 0.750 0.216 0.525
N 0.250 0.551 0.834
N 0.250 0.133 0.867

Computed properties:
SG   No. 11
Density of states at the Fermi level   0.1 states/eV/cell
VASP energy   -0.5812 Ry/atom

# 10
# Ho2Sc3Ga4

A relaxed Ho2Sc3Ga4 crystal (GGA-PBE, Alexandria via LeMat-Bulk).

Cell lengths 6.427, 8.182, 8.267 Å; angles 90.00, 112.88, 90.00 degrees
Positions (direct):
Ho 0.110 0.583 0.221
Ho 0.890 0.417 0.779
Ho 0.390 0.083 0.779
Ho 0.610 0.917 0.221
Sc 0.000 0.000 0.000
Sc 0.500 0.500 0.000
Sc 0.537 0.750 0.574
Sc 0.963 0.250 0.426
Sc 0.463 0.250 0.426
Sc 0.037 0.750 0.574
Ga 0.716 0.750 0.933
Ga 0.784 0.250 0.067
Ga 0.284 0.250 0.067
Ga 0.216 0.750 0.933
Ga 0.186 0.956 0.373
Ga 0.814 0.044 0.627
Ga 0.314 0.456 0.627
Ga 0.686 0.544 0.373

Computed properties:
Energy of formation from the pure elements   -0.455 eV per atom
Distance to the lowest polymorph of the same formula   0.1663 eV/atom
SG   No. 64
Density of states at the Fermi level   13.1 states/eV/cell

# 11
# Sc4CdHg2

A relaxed Sc4CdHg2 crystal (GGA-PBE, Alexandria via LeMat-Bulk).

Cell lengths 4.907, 4.907, 8.394 Å; angles 73.01, 73.01, 60.00 degrees
Positions (direct):
Sc 0.870 0.870 0.389
Sc 0.130 0.130 0.611
Sc 0.617 0.617 0.149
Sc 0.383 0.383 0.851
Cd 0.000 0.000 0.000
Hg 0.748 0.748 0.755
Hg 0.252 0.252 0.245

Computed properties:
Energy of formation from the pure elements   -0.226 eV per atom
SG   No. 166
Density of states at the Fermi level   8.6 states/eV/cell

# 12
# CsAgBH6

A relaxed CsAgBH6 crystal (GGA-PBE, Alexandria via LeMat-Bulk).

Cell lengths 5.529, 5.148, 5.889 Å; angles 89.87, 89.64, 53.01 degrees
Positions (direct):
Cs 0.073 0.892 0.000
Ag 0.748 0.590 0.501
B 0.358 0.443 0.499
H 0.756 0.586 0.212
H 0.749 0.590 0.790
H 0.452 0.288 0.674
H 0.066 0.625 0.502
H 0.347 0.696 0.499
H 0.451 0.290 0.323

Computed properties:
SG   No. 1
Density of states at the Fermi level   1.8 states/eV/cell
VASP energy   -0.2490 Ry/atom

# 13
# La4GeP2Se

A relaxed La4GeP2Se crystal (GGA-PBE, Alexandria via LeMat-Bulk).

Cell lengths 4.297, 7.516, 7.498 Å; angles 70.84, 90.00, 90.00 degrees
Positions (direct):
La 0.000 0.762 0.742
La 0.000 0.238 0.258
La 0.500 0.759 0.248
La 0.500 0.241 0.752
Ge 0.000 0.500 0.500
P 0.000 0.000 0.000
P 0.500 0.000 0.500
Se 0.500 0.500 0.000

Computed properties:
SG   No. 10
Density of states at the Fermi level   1.6 states/eV/cell
VASP energy   -0.4670 Ry/atom

# 14
# Sr6GaRh

A relaxed Sr6GaRh crystal (GGA-PBE, Alexandria via LeMat-Bulk).

Cell lengths 4.210, 8.997, 8.997 Å; angles 96.29, 90.00, 90.00 degrees
Positions (direct):
Sr 0.000 0.535 0.787
Sr 0.000 0.213 0.465
Sr 0.000 0.658 0.342
Sr 0.500 0.920 0.653
Sr 0.500 0.347 0.080
Sr 0.500 0.926 0.074
Ga 0.000 0.150 0.850
Rh 0.500 0.251 0.749

Computed properties:
Energy of formation from the pure elements   -0.185 eV per atom
SG   No. 38
Density of states at the Fermi level   7.1 states/eV/cell

# 15
# SrAg2Pd2

A relaxed SrAg2Pd2 crystal (GGA-PBE, Alexandria via LeMat-Bulk).

Cell lengths 7.811, 7.811, 3.321 Å; angles 90.00, 90.00, 90.00 degrees
Positions (direct):
Sr 0.000 0.000 0.000
Sr 0.500 0.500 0.000
Pd 0.369 0.869 0.000
Pd 0.869 0.631 0.000
Pd 0.631 0.131 0.000
Pd 0.131 0.369 0.000
Ag 0.162 0.662 0.500
Ag 0.662 0.838 0.500
Ag 0.838 0.338 0.500
Ag 0.338 0.162 0.500

Computed properties:
Energy of formation from the pure elements   -0.219 eV per atom
Distance to the lowest polymorph of the same formula   0.0491 eV/atom
SG   No. 127
Density of states at the Fermi level   3.5 states/eV/cell

# 16
# SrTaNi10

A relaxed SrTaNi10 crystal (GGA-PBE, Alexandria via LeMat-Bulk).

Cell lengths 3.967, 4.827, 8.420 Å; angles 90.00, 90.00, 90.00 degrees
Positions (direct):
Sr 0.000 0.000 0.000
Ta 0.000 0.500 0.500
Ni 0.000 0.000 0.348
Ni 0.000 0.500 0.806
Ni 0.000 0.500 0.194
Ni 0.000 0.000 0.652
Ni 0.500 0.000 0.500
Ni 0.500 0.500 0.000
Ni 0.500 0.260 0.269
Ni 0.500 0.740 0.731
Ni 0.500 0.740 0.269
Ni 0.500 0.260 0.731

Computed properties:
Energy of formation from the pure elements   -0.033 eV per atom
SG   No. 47
Density of states at the Fermi level   14.2 states/eV/cell

# 17
# CuSeS

A relaxed CuSeS crystal (GGA-PBE, Alexandria via LeMat-Bulk).

Cell lengths 3.601, 3.872, 13.228 Å; angles 123.53, 90.00, 117.71 degrees
Positions (direct):
Cu 0.795 0.590 0.285
Cu 0.205 0.410 0.715
Se 0.328 0.656 0.082
Se 0.672 0.344 0.918
S 0.838 0.677 0.674
S 0.162 0.323 0.326

Computed properties:
Distance to the lowest polymorph of the same formula   0.1127 eV/atom
SG   No. 12
Density of states at the Fermi level   4.4 states/eV/cell

# 18
# YCuTeN2

A relaxed YCuTeN2 crystal (GGA-PBE, Alexandria via LeMat-Bulk).

Cell lengths 4.391, 4.391, 6.289 Å; angles 90.00, 90.00, 90.00 degrees
Positions (direct):
Y 0.000 0.000 0.000
Te 0.000 0.000 0.500
Cu 0.500 0.500 0.500
N 0.000 0.500 0.000
N 0.500 0.000 0.000

Computed properties:
Distance to the lowest polymorph of the same formula   0.1435 eV/atom
SG   No. 123
Density of states at the Fermi level   3.1 states/eV/cell

# 19
# Ac4TbSe6

A relaxed Ac4TbSe6 crystal (GGA-PBE, Alexandria via LeMat-Bulk).

Cell lengths 8.680, 8.680, 8.680 Å; angles 89.58, 89.58, 90.42 degrees
Positions (direct):
Ac 0.370 0.130 0.250
Ac 0.870 0.250 0.370
Ac 0.250 0.630 0.130
Ac 0.250 0.250 0.750
Ac 0.750 0.750 0.250
Ac 0.750 0.370 0.870
Ac 0.130 0.750 0.630
Ac 0.630 0.870 0.750
Tb 0.500 0.500 0.500
Tb 0.000 0.000 0.000
Se 0.689 0.062 0.082
Se 0.082 0.311 0.062
Se 0.582 0.438 0.189
Se 0.938 0.082 0.689
Se 0.562 0.189 0.582
Se 0.189 0.418 0.438
Se 0.811 0.582 0.562
Se 0.438 0.811 0.418
Se 0.062 0.918 0.311
Se 0.418 0.562 0.811
Se 0.918 0.689 0.938
Se 0.311 0.938 0.918

Computed properties:
SG   No. 167
Density of states at the Fermi level   10.6 states/eV/cell
VASP energy   -0.4167 Ry/atom

# 20
# SrLa3Os

A relaxed SrLa3Os crystal (GGA-PBE, Alexandria via LeMat-Bulk).

Cell lengths 8.111, 8.111, 6.612 Å; angles 90.00, 90.00, 129.44 degrees
Positions (direct):
Sr 0.573 0.427 0.250
Sr 0.427 0.573 0.750
Os 0.162 0.838 0.250
Os 0.838 0.162 0.750
La 0.045 0.440 0.250
La 0.560 0.955 0.250
La 0.440 0.045 0.750
La 0.955 0.560 0.750
La 0.000 0.000 0.000
La 0.000 0.000 0.500

Computed properties:
Energy of formation from the pure elements   0.078 eV per atom
Distance to the lowest polymorph of the same formula   0.1617 eV/atom
SG   No. 63
Density of states at the Fermi level   13.8 states/eV/cell